# 1
DFT (PBE) results for a relaxed CeDy2PaSe4 crystal.

Output
For the density of states at the Fermi level, the calculation gives 1.4021 states/eV/atom. The value obtained for the energy relative to the elements, uncorrected is -1.619 eV/atom. For the total magnetization, the calculation gives 1.91 Bohr magnetons per cell.

Unit cell a=4.040 b=7.275 c=7.021 alpha=71.33 beta=90.00 gamma=90.00
Fractional positions:
Se 0.500 0.758 0.250
Se 0.000 0.760 0.744
Se 0.500 0.242 0.750
Se 0.000 0.240 0.256
Dy 0.000 0.000 0.000
Dy 0.500 0.000 0.500
Ce 0.500 0.500 0.000
Pa 0.000 0.500 0.500

---

# 2
DFT (PBE) results for a relaxed MnIn2Co2 crystal.

Output
For the density of states at the Fermi level, the calculation gives 0.8936 states/eV/atom. The value obtained for the total energy is -5.614 eV/atom. For the total magnetization, the calculation gives 8.89 Bohr magnetons per cell.

Unit cell a=6.314 b=6.314 c=3.961 alpha=90.00 beta=90.00 gamma=90.00
Fractional positions:
Co 0.371 0.871 0.000
Co 0.871 0.629 0.000
Co 0.129 0.371 0.000
Co 0.629 0.129 0.000
In 0.826 0.326 0.500
In 0.326 0.174 0.500
In 0.674 0.826 0.500
In 0.174 0.674 0.500
Mn 0.000 0.000 0.000
Mn 0.500 0.500 0.000

---

# 3
DFT (PBE) results for a relaxed SrNb4Se8 crystal.

Output
For the density of states at the Fermi level, the calculation gives 0.5855 states/eV/atom. The value obtained for the energy relative to the elements, uncorrected is -1.013 eV/atom. For the total magnetization, the calculation gives 0.00 Bohr magnetons per cell.

Unit cell a=7.135 b=7.135 c=8.441 alpha=99.35 beta=105.51 gamma=119.43
Fractional positions:
Se 0.694 0.007 0.215
Se 0.306 0.993 0.785
Se 0.781 0.972 0.753
Se 0.679 0.501 0.180
Se 0.219 0.028 0.247
Se 0.207 0.520 0.215
Se 0.321 0.499 0.820
Se 0.793 0.480 0.785
Nb 0.229 0.770 0.000
Nb 0.797 0.797 0.000
Nb 0.771 0.230 0.000
Nb 0.203 0.203 0.000
Sr 0.000 0.500 0.500

---

Which of these has the highest total magnetization? MnIn2Co2